(1)
## KCdSnHg3 (PBE)

Data for an optimized crystal structure of KCdSnHg3.

```
12
Lattice="3.5385 -6.9721 0.0000 3.5385 6.9721 0.0000 0.0000 0.0000 7.8506" Properties=species:S:1:pos:R:3 pbc="T T T"
K 3.5385 4.3941 5.8880
K 3.5385 -4.3941 1.9627
Cd 3.5385 1.0511 5.8880
Cd 3.5385 -1.0511 1.9627
Sn 3.5385 5.2179 1.9627
Sn 3.5385 -5.2179 5.8880
Hg 1.5897 0.0000 0.0000
Hg 1.5897 0.0000 3.9253
Hg 3.5385 2.1087 1.9627
Hg 3.5385 -2.1087 5.8880
Hg 5.4874 0.0000 0.0000
Hg 5.4874 0.0000 3.9253
```

## Properties
electronic total energy: -14.2 eV per cell
magnetic moment: 0.0 μB/f.u.
formation energy from the elements: -0.033 eV/atom
volume: 387.37 Å³/cell

---

(2)
## LaMnOs2 (PBE)

Data for an optimized crystal structure of LaMnOs2.

```
16
Lattice="7.7174 0.0000 0.0000 0.0000 7.7174 0.0000 0.0000 0.0000 5.0548" Properties=species:S:1:pos:R:3 pbc="T T T"
La 0.0000 0.0000 0.0000
La 0.0000 3.8587 1.2637
La 3.8587 0.0000 3.7911
La 3.8587 3.8587 2.5274
Mn 0.0000 0.0000 2.5274
Mn 0.0000 3.8587 3.7911
Mn 3.8587 0.0000 1.2637
Mn 3.8587 3.8587 0.0000
Os 1.4526 5.7880 3.1592
Os 1.9293 1.4526 1.8955
Os 1.9293 2.4061 4.4229
Os 2.4061 5.7880 0.6318
Os 5.3113 1.9293 0.6318
Os 5.7880 5.3113 4.4229
Os 5.7880 6.2648 1.8955
Os 6.2648 1.9293 3.1592
```

## Properties
electronic total energy: -135.7 eV per cell
distance to the lowest polymorph of the same formula: 36.68 kJ per mole of atoms
magnetic moment: 1.9 μB/f.u.
formation energy from the elements: 0.658 eV/atom
volume: 301.05 Å³/cell

---

(3)
## InNiAs2 (PBE)

Data for an optimized crystal structure of InNiAs2.

```
8
Lattice="4.2764 0.0000 0.0000 0.0000 4.2764 0.0000 0.0000 0.0000 7.9997" Properties=species:S:1:pos:R:3 pbc="T T T"
In 0.0000 0.0000 0.0000
In 2.1382 2.1382 3.9998
Ni 0.0000 0.0000 3.9998
Ni 2.1382 2.1382 0.0000
As 0.0000 2.1382 1.9999
As 0.0000 2.1382 5.9997
As 2.1382 0.0000 1.9999
As 2.1382 0.0000 5.9997
```

## Properties
electronic total energy: -33.1 eV per cell
magnetic moment: 0.0 μB/f.u.
formation energy from the elements: 0.312 eV/atom
volume: 146.29 Å³/cell

---

(4)
## CoRe2Rh (PBE)

Data for an optimized crystal structure of CoRe2Rh.

```
16
Lattice="6.0631 0.0000 0.0000 0.0000 6.0631 0.0000 0.0000 0.0000 6.0631" Properties=species:S:1:pos:R:3 pbc="T T T"
Co 0.0000 0.0000 0.0000
Co 0.0000 3.0316 3.0316
Co 3.0316 0.0000 3.0316
Co 3.0316 3.0316 0.0000
Re 0.0000 0.0000 3.0316
Re 0.0000 3.0316 0.0000
Re 1.5158 1.5158 1.5158
Re 1.5158 4.5474 4.5474
Re 3.0316 0.0000 0.0000
Re 3.0316 3.0316 3.0316
Re 4.5474 1.5158 4.5474
Re 4.5474 4.5474 1.5158
Rh 1.5158 1.5158 4.5474
Rh 1.5158 4.5474 1.5158
Rh 4.5474 1.5158 1.5158
Rh 4.5474 4.5474 4.5474
```

## Properties
electronic total energy: -153.8 eV per cell
distance to the lowest polymorph of the same formula: 30.77 kJ per mole of atoms
magnetic moment: 0.5 μB/f.u.
formation energy from the elements: 0.228 eV/atom
volume: 222.89 Å³/cell

---

Fermi-level density of states, respectively: 1.9, 3.9, 2.0, 4.1 states/eV/f.u..